A plane-wave DFT calculation with GGA-PBEsol was carried out for an optimized crystal structure of FePPdO2.

Cell and atoms, written as CIF:
```
data_FePPdO2
_chemical_formula_sum 'Fe1 P1 Pd1 O2'
_cell_length_a 3.766
_cell_length_b 3.766
_cell_length_c 4.875
_cell_angle_alpha 90.00
_cell_angle_beta 90.00
_cell_angle_gamma 90.00
_symmetry_space_group_name_H-M 'P 4/m m m'
_symmetry_Int_Tables_number 123
_symmetry_space_group_name_Hall '-P 4 2'
loop_
_atom_site_label
_atom_site_type_symbol
_atom_site_fract_x
_atom_site_fract_y
_atom_site_fract_z
Fe1 Fe 0.000 0.000 0.000
P1 P 0.500 0.500 0.000
Pd1 Pd 0.500 0.500 0.500
O1 O 0.000 0.500 0.500
```

Results
spin magnetization	4.63	μB per formula unit
total DFT energy (no corrections)	-28.9	eV/cell
formation energy without anion corrections	0.4675	eV/atom
calculated volume	69	Å³ per cell